No. 1
The following is a DFT calculation (PBEsol) of a relaxed ScInPt crystal.

Structure (CIF):
```
data_ScInPt
_chemical_formula_sum 'Sc4 In4 Pt4'
_space_group_name_H-M_alt 'F -4 3 m'
_space_group_IT_number 216
_space_group_name_Hall 'F -4 2 3'
_cell_length_a 6.371
_cell_length_b 6.371
_cell_length_c 6.371
_cell_angle_alpha 90.00
_cell_angle_beta 90.00
_cell_angle_gamma 90.00
loop_
_atom_site_label
_atom_site_type_symbol
_atom_site_fract_x
_atom_site_fract_y
_atom_site_fract_z
_atom_site_occupancy
Sc1 Sc 0.000 0.000 0.000 1
In1 In 0.250 0.250 0.750 1
Pt1 Pt 0.250 0.250 0.250 1
```

Calculated values
* ΔE_f: -6.565 kcal/mol of atoms
* crystal system: cubic
* VASP energy: -5.8018 eV/atom
* total magnetic moment: 0.0001 μB/atom

---

No. 2
The following is a DFT calculation (PBEsol) of a relaxed ScIn2PtSe crystal.

Structure (CIF):
```
data_ScIn2PtSe
_chemical_formula_sum 'Sc1 In2 Pt1 Se1'
_space_group_name_H-M_alt 'P 4/m m m'
_space_group_IT_number 123
_space_group_name_Hall '-P 4 2'
_cell_length_a 5.569
_cell_length_b 5.569
_cell_length_c 4.659
_cell_angle_alpha 90.00
_cell_angle_beta 90.00
_cell_angle_gamma 90.00
loop_
_atom_site_label
_atom_site_type_symbol
_atom_site_fract_x
_atom_site_fract_y
_atom_site_fract_z
_atom_site_occupancy
Sc1 Sc 0.000 0.000 0.000 1
In1 In 0.000 0.500 0.000 1
Pt1 Pt 0.000 0.000 0.500 1
Se1 Se 0.500 0.500 0.500 1
```

Calculated values
* formation energy (no corrections): 271 kJ/mol of formula units
* crystal system: tetragonal
* VASP energy: -4.1154 eV/atom
* total magnetic moment: 0.0000 μB/atom

---

No. 3
The following is a DFT calculation (PBEsol) of a relaxed InPt2Se crystal.

Structure (CIF):
```
data_InPt2Se
_chemical_formula_sum 'In3 Pt6 Se3'
_space_group_name_H-M_alt 'R 3 m'
_space_group_IT_number 160
_space_group_name_Hall 'R 3 -2"'
_cell_length_a 3.6411
_cell_length_b 3.6411
_cell_length_c 20.8208
_cell_angle_alpha 90.00
_cell_angle_beta 90.00
_cell_angle_gamma 120.00
loop_
_atom_site_label
_atom_site_type_symbol
_atom_site_fract_x
_atom_site_fract_y
_atom_site_fract_z
_atom_site_occupancy
In1 In 0.0000 0.0000 0.0000 1
Pt1 Pt 0.0000 0.0000 0.2531 1
Pt2 Pt 0.0000 0.0000 0.5091 1
Se1 Se 0.0000 0.0000 0.7823 1
```

Calculated values
* formation energy (no corrections): -49 kJ/mol of formula units
* crystal system: trigonal
* VASP energy: -5.3165 eV/atom
* total magnetic moment: 0.0000 μB/atom

---

No. 4
The following is a DFT calculation (PBEsol) of a relaxed InPt4Se crystal.

Structure (CIF):
```
data_InPt4Se
_chemical_formula_sum 'In4 Pt16 Se4'
_space_group_name_H-M_alt 'F -4 3 m'
_space_group_IT_number 216
_space_group_name_Hall 'F -4 2 3'
_cell_length_a 7.472
_cell_length_b 7.472
_cell_length_c 7.472
_cell_angle_alpha 90.00
_cell_angle_beta 90.00
_cell_angle_gamma 90.00
loop_
_atom_site_label
_atom_site_type_symbol
_atom_site_fract_x
_atom_site_fract_y
_atom_site_fract_z
_atom_site_occupancy
In1 In 0.000 0.000 0.000 1
Pt1 Pt 0.125 0.125 0.625 1
Se1 Se 0.250 0.250 0.250 1
```

Calculated values
* formation energy (no corrections): 100 kJ/mol of formula units
* crystal system: cubic
* VASP energy: -5.6093 eV/atom
* total magnetic moment: 0.0002 μB/atom

---

No. 5
The following is a DFT calculation (PBEsol) of a relaxed InPtSe2 crystal.

Structure (CIF):
```
data_InPtSe2
_chemical_formula_sum 'In1 Pt1 Se2'
_space_group_name_H-M_alt 'P 4/m m m'
_space_group_IT_number 123
_space_group_name_Hall '-P 4 2'
_cell_length_a 3.208
_cell_length_b 3.208
_cell_length_c 7.731
_cell_angle_alpha 90.00
_cell_angle_beta 90.00
_cell_angle_gamma 90.00
loop_
_atom_site_label
_atom_site_type_symbol
_atom_site_fract_x
_atom_site_fract_y
_atom_site_fract_z
_atom_site_occupancy
In1 In 0.000 0.000 0.000 1
Pt1 Pt 0.000 0.000 0.500 1
Se1 Se 0.500 0.500 0.298 1
```

Calculated values
* formation energy (no corrections): 54 kJ/mol of formula units
* crystal system: tetragonal
* VASP energy: -4.2710 eV/atom
* total magnetic moment: 0.0000 μB/atom

---

No. 6
The following is a DFT calculation (PBEsol) of a relaxed InPt2Se crystal.

Structure (CIF):
```
data_InPt2Se
_chemical_formula_sum 'In1 Pt2 Se1'
_space_group_name_H-M_alt 'P m m 2'
_space_group_IT_number 25
_cell_length_a 2.856
_cell_length_b 4.811
_cell_length_c 5.083
_cell_angle_alpha 90.00
_cell_angle_beta 90.00
_cell_angle_gamma 90.00
loop_
_space_group_symop_operation_xyz
'x,y,z'
'-x,-y,z'
'-x,y,z'
'x,-y,z'
loop_
_atom_site_label
_atom_site_type_symbol
_atom_site_fract_x
_atom_site_fract_y
_atom_site_fract_z
_atom_site_occupancy
In1 In 0.000 0.000 0.000 1
Pt1 Pt 0.500 0.000 0.507 1
Pt2 Pt 0.500 0.500 0.863 1
Se1 Se 0.500 0.500 0.370 1
```

Calculated values
* formation energy (no corrections): -78 kJ/mol of formula units
* crystal system: orthorhombic
* VASP energy: -5.3920 eV/atom
* total magnetic moment: 0.0000 μB/atom